## SrEr2Se4 (GGA-PBE)

Data for SrEr2Se4 after structural relaxation.

Unit cell a=7.0467 b=7.0467 c=14.0360 alpha=90.00 beta=90.00 gamma=146.06
Closest atoms and distances in Å follow each position.
Fractional positions:
Sr 0.1114 0.8886 0.7500  6 Se 3.04-3.22
Sr 0.8886 0.1114 0.2500  6 Se 3.04-3.22
Er 0.3655 0.6345 0.5684  6 Se 2.77-2.90
Er 0.3655 0.6345 0.9316  6 Se 2.77-2.90
Er 0.6345 0.3655 0.0684  6 Se 2.77-2.90
Er 0.6345 0.3655 0.4316  6 Se 2.77-2.90
Se 0.0000 0.0000 0.0000  4 Er 2.90
Se 0.0000 0.0000 0.5000  4 Er 2.90
Se 0.2704 0.7296 0.1147  3 Er 2.83-2.87
Se 0.2704 0.7296 0.3853  3 Er 2.83-2.87
Se 0.4453 0.5547 0.7500  2 Er 2.77, 2 Sr 3.04
Se 0.5547 0.4453 0.2500  2 Er 2.77, 2 Sr 3.04
Se 0.7296 0.2704 0.6147  3 Er 2.83-2.87
Se 0.7296 0.2704 0.8853  3 Er 2.83-2.87

- total magnetization (μB per formula unit) = 0.0
- space-group type = Cmcm, No. 63
- volume (Å³ per atom) = 27.79
- crystal system = orthorhombic
- formation energy without anion corrections (eV/f.u.) = -13.57